[1]
{
  "formula": "ScPbS",
  "functional": "GGA-PBE",
  "state": "optimized geometry",
  "cell": [[3.6218, 0.0000, 0.0000], [0.0000, 4.9893, 0.0000], [0.0000, 0.0000, 8.4890]],
  "species": ["Sc", "Sc", "S", "S", "Pb", "Pb"],
  "frac_coords": [[0.5000, 0.0000, 0.5918], [0.0000, 0.5000, 0.4082], [0.0000, 0.0000, 0.3841], [0.5000, 0.5000, 0.6159], [0.5000, 0.5000, 0.0841], [0.0000, 0.0000, 0.9159]],
  "total_energy_ev_per_cell": -34.53,
  "volume_a3_per_atom": 25.6,
  "formation_energy_uncorrected_ev_per_fu": -3.1
}

[2]
{
  "formula": "Sc6PbS8",
  "functional": "GGA-PBE",
  "state": "optimized geometry",
  "cell": [[7.2547, -0.0842, -0.0870], [-0.3104, 7.2485, -0.0870], [-0.3104, -0.3203, 7.2420]],
  "species": ["Sc", "Sc", "Sc", "Sc", "Sc", "Sc", "Pb", "S", "S", "S", "S", "S", "S", "S", "S"],
  "frac_coords": [[0.6239, 0.4318, 0.8063], [0.4318, 0.8063, 0.6239], [0.8063, 0.6239, 0.4318], [0.3761, 0.5682, 0.1937], [0.5682, 0.1937, 0.3761], [0.1937, 0.3761, 0.5682], [0.0000, 0.0000, 0.0000], [0.7538, 0.7538, 0.7538], [0.2462, 0.2462, 0.2462], [0.5838, 0.8532, 0.3071], [0.8532, 0.3071, 0.5838], [0.3071, 0.5838, 0.8532], [0.4162, 0.1468, 0.6929], [0.1468, 0.6929, 0.4162], [0.6929, 0.4162, 0.1468]],
  "total_energy_ev_per_cell": -98.25,
  "volume_a3_per_atom": 25.3,
  "formation_energy_uncorrected_ev_per_fu": -23.5
}

[3]
{
  "formula": "Sc3PbS",
  "functional": "GGA-PBE",
  "state": "optimized geometry",
  "cell": [[-0.4598, 1.0643, -4.7012], [-1.7722, -4.4291, -0.8293], [-4.4826, 1.6419, 0.8101]],
  "species": ["Pb", "Sc", "Sc", "Sc", "S"],
  "frac_coords": [[0.5000, 0.5000, 0.5000], [0.0000, 0.5000, 0.0000], [0.0000, 0.0000, 0.5000], [0.5000, 0.0000, 0.0000], [0.0000, 0.0000, 0.0000]],
  "relative_energy_mev_per_atom": 157.3,
  "total_energy_ev_per_cell": -31.06,
  "volume_a3_per_atom": 22.7,
  "formation_energy_uncorrected_ev_per_fu": -4.2
}

[4]
{
  "formula": "ScPbS2",
  "functional": "GGA-PBE",
  "state": "optimized geometry",
  "cell": [[4.1345, -0.0002, 0.0037], [-0.0001, 6.5094, 0.0024], [0.0127, 0.0047, 8.6943]],
  "species": ["Sc", "Sc", "Pb", "Pb", "S", "S", "S", "S"],
  "frac_coords": [[0.2003, 0.9120, 0.2134], [0.7016, 0.4118, 0.0028], [0.2026, 0.7908, 0.7973], [0.6995, 0.2905, 0.4185], [0.7004, 0.7024, 0.1919], [0.7029, 0.5286, 0.7311], [0.1991, 0.0283, 0.4851], [0.2015, 0.2023, 0.0237]],
  "total_energy_ev_per_cell": -44.71,
  "volume_a3_per_atom": 29.2,
  "formation_energy_uncorrected_ev_per_fu": -4.1
}